The following is a DFT calculation (GGA-PBE) of a relaxed structure of Li2AgBi.

Unit cell a=4.8407 b=4.8407 c=4.8407 alpha=60.00 beta=60.00 gamma=60.00
Closest atoms and distances in Å follow each position.
Positions (direct):
Bi: 0.0000 0.0000 0.0000  4 Li 2.96, 4 Ag 2.96
Ag: 0.7500 0.7500 0.7500  4 Li 2.96, 4 Bi 2.96
Li: 0.2500 0.2500 0.2500  4 Bi 2.96, 4 Li 2.96
Li: 0.5000 0.5000 0.5000  4 Li 2.96, 4 Ag 2.96

Output
The total DFT energy (no corrections) is -0.110 Ha/atom. The value obtained for the polymorph energy (0 for the lowest one) is 5 meV per atom. As for the space group: F-43m, No. 216. As for the formation energy: -0.34 eV/atom. As for the mass density: 6847 kg/m³.

***

The following is a DFT calculation (GGA-PBE) of a relaxed structure of LiAs2SeN.

Unit cell a=4.5916 b=4.5916 c=4.5751 alpha=90.00 beta=90.00 gamma=90.00
Closest atoms and distances in Å follow each position.
Positions (direct):
N: 0.5000 0.5000 0.5000  8 As 3.24, 4 Se 3.25
As: 0.5000 0.0000 0.0000  2 Li 2.30
As: 0.0000 0.5000 0.0000  2 Li 2.30
Se: 0.0000 0.0000 0.5000  2 Li 2.29
Li: 0.0000 0.0000 0.0000  2 Se 2.29, 4 As 2.30

Output
The total DFT energy (no corrections) is -0.117 Ha/atom. The value obtained for the polymorph energy (0 for the lowest one) is 862 meV per atom. The formation energy from raw total energies comes out at 1.41 eV/atom. As for the space group: P4/mmm, No. 123. As for the mass density: 4300 kg/m³.

***

The following is a DFT calculation (GGA-PBE) of a relaxed structure of Sm2ScAg.

Unit cell a=5.3452 b=5.3452 c=5.3452 alpha=60.00 beta=60.00 gamma=60.00
Closest atoms and distances in Å follow each position.
Positions (direct):
Sc: 0.0000 0.0000 0.0000  8 Sm 3.27
Sm: 0.2500 0.2500 0.2500  4 Sc 3.27, 4 Ag 3.27
Sm: 0.7500 0.7500 0.7500  4 Ag 3.27, 4 Sc 3.27
Ag: 0.5000 0.5000 0.5000  8 Sm 3.27

Output
The total DFT energy (no corrections) is -0.170 Ha/atom. The value obtained for the polymorph energy (0 for the lowest one) is 128 meV per atom. As for the space group: Fm-3m, No. 225. As for the formation energy: 0.04 eV/atom. As for the mass density: 6974 kg/m³.

***

The following is a DFT calculation (GGA-PBE) of a relaxed structure of HfTiPb2.

Unit cell a=5.0517 b=5.0517 c=5.0517 alpha=60.00 beta=60.00 gamma=60.00
Closest atoms and distances in Å follow each position.
Positions (direct):
Hf: 0.5000 0.5000 0.5000  8 Pb 3.09
Ti: 0.0000 0.0000 0.0000  8 Pb 3.09
Pb: 0.7500 0.7500 0.7500  4 Hf 3.09, 4 Ti 3.09
Pb: 0.2500 0.2500 0.2500  4 Hf 3.09, 4 Ti 3.09

Output
The total DFT energy (no corrections) is -0.223 Ha/atom. The value obtained for the polymorph energy (0 for the lowest one) is 109 meV per atom. As for the space group: Fm-3m, No. 225. As for the formation energy: 0.24 eV/atom. As for the mass density: 11672 kg/m³.

***

The following is a DFT calculation (GGA-PBE) of a relaxed structure of SrMn4Si.

Unit cell a=5.1415 b=5.1415 c=5.1415 alpha=60.00 beta=60.00 gamma=60.00
Closest atoms and distances in Å follow each position.
Positions (direct):
Mn: 0.3768 0.3768 0.8695  6 Mn 2.53-2.61
Mn: 0.3768 0.8695 0.3768  6 Mn 2.53-2.61
Mn: 0.3768 0.3768 0.3768  6 Mn 2.53-2.61
Mn: 0.8695 0.3768 0.3768  6 Mn 2.53-2.61
Si: 0.7500 0.7500 0.7500  12 Mn 3.01, 4 Sr 3.15
Sr: 0.0000 0.0000 0.0000  12 Mn 3.02, 4 Si 3.15

Output
The total DFT energy (no corrections) is -0.247 Ha/atom. The formation energy from raw total energies comes out at 0.58 eV/atom. As for the space group: F-43m, No. 216. As for the mass density: 5796 kg/m³.

***

The following is a DFT calculation (GGA-PBE) of a relaxed structure of Rb2Al2Zn.

Unit cell a=7.1133 b=7.1133 c=6.2207 alpha=90.00 beta=90.00 gamma=90.00
Closest atoms and distances in Å follow each position.
Positions (direct):
Al: 0.1334 0.3666 0.0000  1 Al 2.68, 2 Zn 2.78
Al: 0.8666 0.6334 0.0000  1 Al 2.68, 2 Zn 2.78
Al: 0.6334 0.1334 0.0000  1 Al 2.68, 2 Zn 2.78
Al: 0.3666 0.8666 0.0000  1 Al 2.68, 2 Zn 2.78
Rb: 0.6835 0.8165 0.5000  6 Al 3.61-3.86, 5 Rb 3.68-3.69
Rb: 0.8165 0.3165 0.5000  6 Al 3.61-3.86, 5 Rb 3.68-3.69
Rb: 0.3165 0.1835 0.5000  6 Al 3.61-3.86, 5 Rb 3.68-3.69
Rb: 0.1835 0.6835 0.5000  6 Al 3.61-3.86, 5 Rb 3.68-3.69
Zn: 0.5000 0.5000 0.0000  4 Al 2.78
Zn: 0.0000 0.0000 0.0000  4 Al 2.78

Output
The total DFT energy (no corrections) is -0.067 Ha/atom. As for the space group: P4/mbm, No. 127. As for the formation energy: 0.32 eV/atom. As for the mass density: 3063 kg/m³.

***

The following is a DFT calculation (GGA-PBE) of a relaxed structure of SbAs2Pt.

Unit cell a=6.7712 b=6.7712 c=6.7712 alpha=33.35 beta=33.35 gamma=33.35
Closest atoms and distances in Å follow each position.
Positions (direct):
Sb: 0.7500 0.7500 0.7500  6 As 2.91
As: 0.9863 0.9863 0.9863  3 Pt 2.61, 3 Sb 2.91
As: 0.5137 0.5137 0.5137  3 Pt 2.61, 3 Sb 2.91
Pt: 0.2500 0.2500 0.2500  6 As 2.61

Output
The total DFT energy (no corrections) is -0.182 Ha/atom. The formation energy from raw total energies comes out at -0.09 eV/atom. As for the space group: R-3m, No. 166. As for the mass density: 9276 kg/m³.

***

The following is a DFT calculation (GGA-PBE) of a relaxed structure of MgPaSb.

Unit cell a=3.2907 b=3.2904 c=16.0244 alpha=90.00 beta=90.00 gamma=120.00
Closest atoms and distances in Å follow each position.
Positions (direct):
Pa: 0.6110 0.2219 0.6643  3 Sb 3.25, 6 Pa 3.29, 3 Mg 3.37
Pa: 0.6110 0.2219 0.3357  3 Sb 3.25, 6 Pa 3.29, 3 Mg 3.37
Sb: 0.6121 0.2243 0.0000  6 Mg 3.22, 6 Sb 3.29
Sb: 0.2772 0.5543 0.5000  6 Pa 3.25, 6 Sb 3.29
Mg: 0.2777 0.5554 0.8378  3 Sb 3.22, 6 Mg 3.29, 3 Pa 3.37
Mg: 0.2777 0.5554 0.1622  3 Sb 3.22, 6 Mg 3.29, 3 Pa 3.37

Output
The total DFT energy (no corrections) is -0.188 Ha/atom. The value obtained for the polymorph energy (0 for the lowest one) is 32 meV per atom. The formation energy from raw total energies comes out at -0.04 eV/atom. As for the space group: Amm2, No. 38. As for the mass density: 8335 kg/m³.

***

The following is a DFT calculation (GGA-PBE) of a relaxed structure of BiB2O5.

Unit cell a=6.7121 b=6.7121 c=10.2186 alpha=78.38 beta=78.38 gamma=61.21
Closest atoms and distances in Å follow each position.
Positions (direct):
Bi: 0.0137 0.6109 0.8069  6 O 2.27-2.39
Bi: 0.9863 0.3891 0.1931  6 O 2.27-2.39
Bi: 0.6109 0.0137 0.3069  6 O 2.27-2.39
Bi: 0.3891 0.9863 0.6931  6 O 2.27-2.39
B: 0.1629 0.5658 0.3608  3 O 1.37-1.39
B: 0.7342 0.2257 0.4955  3 O 1.37-1.39
B: 0.2257 0.7342 0.9955  3 O 1.37-1.39
B: 0.7743 0.2658 0.0045  3 O 1.37-1.39
B: 0.2658 0.7743 0.5045  3 O 1.37-1.39
B: 0.4342 0.8371 0.1392  3 O 1.37-1.39
B: 0.5658 0.1629 0.8608  3 O 1.37-1.39
B: 0.8371 0.4342 0.6392  3 O 1.37-1.39
O: 0.9346 0.6745 0.3441  1 B 1.37
O: 0.0654 0.3255 0.6559  1 B 1.37
O: 0.1431 0.7999 0.6298  1 B 1.37
O: 0.1056 0.6075 0.0213  1 B 1.39
O: 0.3580 0.2736 0.8087  1 B 1.39
O: 0.2819 0.6431 0.4124  2 B 1.37
O: 0.7999 0.1431 0.1298  1 B 1.37
O: 0.7264 0.6420 0.6913  1 B 1.39
O: 0.8944 0.3925 0.9787  1 B 1.39
O: 0.3925 0.8944 0.4787  1 B 1.39
O: 0.3569 0.7181 0.0876  2 B 1.37
O: 0.6075 0.1056 0.5213  1 B 1.39
O: 0.2736 0.3580 0.3087  1 B 1.39
O: 0.7181 0.3569 0.5876  2 B 1.37
O: 0.6431 0.2819 0.9124  2 B 1.37
O: 0.8569 0.2001 0.3702  1 B 1.37
O: 0.3255 0.0654 0.1559  1 B 1.37
O: 0.2001 0.8569 0.8702  1 B 1.37
O: 0.6745 0.9346 0.8441  1 B 1.37
O: 0.6420 0.7264 0.1913  1 B 1.39

Output
The total DFT energy (no corrections) is -0.260 Ha/atom. The formation energy from raw total energies comes out at -1.81 eV/atom. As for the space group: C2/c, No. 15. As for the mass density: 5259 kg/m³.

***

The following is a DFT calculation (GGA-PBE) of a relaxed structure of DyTmCd2.

Unit cell a=5.2594 b=5.2594 c=5.2594 alpha=60.00 beta=60.00 gamma=60.00
Closest atoms and distances in Å follow each position.
Positions (direct):
Cd: 0.2500 0.2500 0.2500  4 Tm 3.22, 4 Dy 3.22
Cd: 0.7500 0.7500 0.7500  4 Tm 3.22, 4 Dy 3.22
Dy: 0.5000 0.5000 0.5000  8 Cd 3.22
Tm: 0.0000 0.0000 0.0000  8 Cd 3.22

Output
The total DFT energy (no corrections) is -0.112 Ha/atom. The value obtained for the polymorph energy (0 for the lowest one) is 0 meV per atom. As for the space group: Fm-3m, No. 225. As for the formation energy: -0.32 eV/atom. As for the mass density: 8979 kg/m³.

***

The following is a DFT calculation (GGA-PBE) of a relaxed structure of CdP3H.

Unit cell a=4.1755 b=4.1755 c=4.1755 alpha=90.00 beta=90.00 gamma=90.00
Closest atoms and distances in Å follow each position.
Positions (direct):
P: 0.5000 0.0000 0.0000  2 H 2.09
P: 0.0000 0.5000 0.0000  2 H 2.09
P: 0.0000 0.0000 0.5000  2 H 2.09
Cd: 0.5000 0.5000 0.5000  12 P 2.95
H: 0.0000 0.0000 0.0000  6 P 2.09

Output
The total DFT energy (no corrections) is -0.120 Ha/atom. The value obtained for the polymorph energy (0 for the lowest one) is 0 meV per atom. As for the space group: Pm-3m, No. 221. As for the mass density: 4707 kg/m³.

***

The following is a DFT calculation (GGA-PBE) of a relaxed structure of LaSmLu.

Unit cell a=3.6341 b=3.6341 c=8.0192 alpha=103.10 beta=103.10 gamma=90.00
Closest atoms and distances in Å follow each position.
Positions (direct):
Sm: 0.0040 0.0040 0.0080  4 Lu 3.54, 4 Sm 3.63, 4 La 3.67
Lu: 0.6645 0.6645 0.3290  4 Sm 3.54, 4 La 3.61, 4 Lu 3.63
La: 0.3315 0.3315 0.6630  4 Lu 3.61, 4 La 3.63, 4 Sm 3.67

Output
The total DFT energy (no corrections) is -0.172 Ha/atom. The value obtained for the polymorph energy (0 for the lowest one) is 0 meV per atom. As for the space group: I4mm, No. 107. As for the formation energy: 0.04 eV/atom. As for the mass density: 7684 kg/m³.

***

Number 1: spin magnetization 0.00 μB per cell. Number 2: spin magnetization 2.45 μB per cell. Number 3: spin magnetization 0.00 μB per cell. Number 4: spin magnetization 1.39 μB per cell. Number 5: spin magnetization 10.17 μB per cell. Number 6: spin magnetization 0.00 μB per cell. Number 7: spin magnetization 0.00 μB per cell. Number 8: spin magnetization 0.00 μB per cell. Number 9: spin magnetization 0.00 μB per cell. Number 10: spin magnetization 0.00 μB per cell. Number 11: spin magnetization 0.00 μB per cell. Number 12: spin magnetization 0.00 μB per cell.